Record 1
Entry from Alexandria: Cd2Ni after structural relaxation (PBE-GGA).

a b c (Å): 4.6000 4.6000 5.6980
angles (deg): 90.00 90.00 120.00
With the nearest neighbours (Å) after each atom.
Space group P6_3/mmc (No. 194)
Asymmetric unit:
1 Cd 0.0000 0.0000 0.0000 [2 per cell]  8 Cd 2.85-3.01, 6 Ni 3.01
2 Cd 0.3333 0.6667 0.2500 [2 per cell]  5 Ni 2.66-2.85
3 Ni 0.3333 0.6667 0.7500 [2 per cell]  5 Cd 2.66-2.85

Summary:
- ΔE_f (eV per atom) = 0.0900
- ρ (g/cm³) = 9.017
- total DFT energy (no corrections) (Ha/atom) = -0.0899
- spin magnetization (μB/atom) = 0.000

=====

Record 2
Entry from Alexandria: CdNi2 after structural relaxation (PBE-GGA).

a b c (Å): 2.8574 2.8574 10.1732
angles (deg): 90.00 90.00 90.00
With the nearest neighbours (Å) after each atom.
Space group I4/mmm (No. 139)
Asymmetric unit:
1 Cd 0.0000 0.0000 0.0000 [2 per cell]  8 Ni 2.76, 4 Cd 2.86
2 Ni 0.0000 0.0000 0.3153 [4 per cell]  4 Ni 2.42

Summary:
- ΔE_f (eV per atom) = 0.1041
- ρ (g/cm³) = 9.188
- total DFT energy (no corrections) (Ha/atom) = -0.1490
- spin magnetization (μB/atom) = 0.157

=====

Record 3
Entry from Alexandria: Cd2Ni after structural relaxation (PBE-GGA).

a b c (Å): 4.2931 4.2794 6.1341
angles (deg): 90.00 110.15 90.00
With the nearest neighbours (Å) after each atom.
Space group C2/m (No. 12)
Asymmetric unit:
1 Cd 0.1449 0.0000 0.2919 [4 per cell]  4 Ni 2.72-2.73, 4 Cd 3.03
2 Ni 0.0000 0.5000 0.0000 [2 per cell]  8 Cd 2.72-2.73, 4 Ni 3.03

Summary:
- ΔE_f (eV per atom) = 0.0435
- ρ (g/cm³) = 8.900
- total DFT energy (no corrections) (Ha/atom) = -0.0916
- spin magnetization (μB/atom) = 0.000

=====

Question: Number 2 is which compound?
Answer: CdNi2

=====

Question: ΔE_f of number 1 (Cd2Ni)?
Answer: 0.0900 eV per atom

=====

Question: What is the formula in the third record?
Answer: Cd2Ni

=====

What did the second record say?
Entry from Alexandria: CdNi2 after structural relaxation (PBE-GGA).

a b c (Å): 2.8574 2.8574 10.1732
angles (deg): 90.00 90.00 90.00
With the nearest neighbours (Å) after each atom.
Space group I4/mmm (No. 139)
Asymmetric unit:
1 Cd 0.0000 0.0000 0.0000 [2 per cell]  8 Ni 2.76, 4 Cd 2.86
2 Ni 0.0000 0.0000 0.3153 [4 per cell]  4 Ni 2.42

Summary:
- ΔE_f (eV per atom) = 0.1041
- ρ (g/cm³) = 9.188
- total DFT energy (no corrections) (Ha/atom) = -0.1490
- spin magnetization (μB/atom) = 0.157